P:
Crystalline NaScSi3 at its relaxed geometry, computed with PBE-GGA.

## Properties
Crystal system: cubic
Total moment: 0.00 Bohr magnetons per cell

Geometry as CIF:
```
data_NaScSi3
_cell_length_a 4.783
_cell_length_b 4.783
_cell_length_c 4.783
_cell_angle_alpha 90.00
_cell_angle_beta 90.00
_cell_angle_gamma 90.00
_space_group_name_H-M_alt 'P m -3 m'
_space_group_IT_number 221
_space_group_name_Hall '-P 4 2 3'
loop_
_atom_site_label
_atom_site_type_symbol
_atom_site_fract_x
_atom_site_fract_y
_atom_site_fract_z
Na1 Na 0.000 0.000 0.000
Sc1 Sc 0.500 0.500 0.500
Si1 Si 0.000 0.000 0.500
```



Q:
Crystalline NaScSi3 at its relaxed geometry, computed with PBE-GGA.

## Properties
Crystal system: cubic
Total moment: 0.00 Bohr magnetons per cell

Geometry as CIF:
```
data_NaScSi3
_cell_length_a 5.071
_cell_length_b 5.071
_cell_length_c 5.071
_cell_angle_alpha 90.00
_cell_angle_beta 90.00
_cell_angle_gamma 90.00
_space_group_name_H-M_alt 'P m -3 m'
_space_group_IT_number 221
_space_group_name_Hall '-P 4 2 3'
loop_
_atom_site_label
_atom_site_type_symbol
_atom_site_fract_x
_atom_site_fract_y
_atom_site_fract_z
Na1 Na 0.000 0.000 0.000
Sc1 Sc 0.500 0.500 0.500
Si1 Si 0.000 0.500 0.500
```



List of relative energies, unit meV per atom: P 520; Q 0



P:
Crystalline NaSr2ScSi at its relaxed geometry, computed with PBE-GGA.

## Properties
Crystal system: tetragonal
Total moment: 1.72 Bohr magnetons per cell

Geometry as CIF:
```
data_NaSr2ScSi
_cell_length_a 5.857
_cell_length_b 5.857
_cell_length_c 5.422
_cell_angle_alpha 90.00
_cell_angle_beta 90.00
_cell_angle_gamma 90.00
_space_group_name_H-M_alt 'P 4/m m m'
_space_group_IT_number 123
_space_group_name_Hall '-P 4 2'
loop_
_atom_site_label
_atom_site_type_symbol
_atom_site_fract_x
_atom_site_fract_y
_atom_site_fract_z
Na1 Na 0.000 0.000 0.000
Sr1 Sr 0.000 0.500 0.000
Sc1 Sc 0.000 0.000 0.500
Si1 Si 0.500 0.500 0.500
```



Q:
Crystalline NaSr2ScSi at its relaxed geometry, computed with PBE-GGA.

## Properties
Crystal system: tetragonal
Total moment: 1.63 Bohr magnetons per cell

Geometry as CIF:
```
data_NaSr2ScSi
_cell_length_a 5.927
_cell_length_b 5.927
_cell_length_c 5.037
_cell_angle_alpha 90.00
_cell_angle_beta 90.00
_cell_angle_gamma 90.00
_space_group_name_H-M_alt 'P 4/m m m'
_space_group_IT_number 123
_space_group_name_Hall '-P 4 2'
loop_
_atom_site_label
_atom_site_type_symbol
_atom_site_fract_x
_atom_site_fract_y
_atom_site_fract_z
Na1 Na 0.000 0.000 0.000
Sr1 Sr 0.000 0.500 0.000
Sc1 Sc 0.500 0.500 0.500
Si1 Si 0.000 0.000 0.500
```



List of relative energies, unit meV per atom: P 228; Q 0



P:
Crystalline NaSmSc at its relaxed geometry, computed with PBE-GGA.

## Properties
Crystal system: orthorhombic
Total moment: 0.00 Bohr magnetons per cell

Geometry as CIF:
```
data_NaSmSc
_cell_length_a 6.053
_cell_length_b 11.334
_cell_length_c 11.372
_cell_angle_alpha 90.00
_cell_angle_beta 90.00
_cell_angle_gamma 90.00
_space_group_name_H-M_alt 'F m m m'
_space_group_IT_number 69
_space_group_name_Hall '-F 2 2'
loop_
_atom_site_label
_atom_site_type_symbol
_atom_site_fract_x
_atom_site_fract_y
_atom_site_fract_z
Na1 Na 0.000 0.000 0.146
Sm1 Sm 0.000 0.174 0.500
Sc1 Sc 0.250 0.250 0.250
```



Q:
Crystalline NaSmSc at its relaxed geometry, computed with PBE-GGA.

## Properties
Crystal system: hexagonal
Total moment: 0.00 Bohr magnetons per cell

Geometry as CIF:
```
data_NaSmSc
_cell_length_a 5.4352
_cell_length_b 5.4352
_cell_length_c 7.0238
_cell_angle_alpha 90.00
_cell_angle_beta 90.00
_cell_angle_gamma 120.00
_space_group_name_H-M_alt 'P 6/m m m'
_space_group_IT_number 191
_space_group_name_Hall '-P 6 2'
loop_
_atom_site_label
_atom_site_type_symbol
_atom_site_fract_x
_atom_site_fract_y
_atom_site_fract_z
Na1 Na 0.3333 0.6667 0.0000
Sm1 Sm 0.0000 0.0000 0.2704
Sc1 Sc 0.3333 0.6667 0.5000
```



List of relative energies, unit meV per atom: P 219; Q 0



P:
Crystalline NaSc3Sn at its relaxed geometry, computed with PBE-GGA.

## Properties
Crystal system: cubic
Total moment: 3.08 Bohr magnetons per cell

Geometry as CIF:
```
data_NaSc3Sn
_cell_length_a 5.502
_cell_length_b 5.502
_cell_length_c 5.502
_cell_angle_alpha 90.00
_cell_angle_beta 90.00
_cell_angle_gamma 90.00
_space_group_name_H-M_alt 'P m -3 m'
_space_group_IT_number 221
_space_group_name_Hall '-P 4 2 3'
loop_
_atom_site_label
_atom_site_type_symbol
_atom_site_fract_x
_atom_site_fract_y
_atom_site_fract_z
Na1 Na 0.000 0.000 0.000
Sc1 Sc 0.000 0.500 0.500
Sn1 Sn 0.500 0.500 0.500
```



Q:
Crystalline NaSc3Sn at its relaxed geometry, computed with PBE-GGA.

## Properties
Crystal system: cubic
Total moment: 2.05 Bohr magnetons per cell

Geometry as CIF:
```
data_NaSc3Sn
_cell_length_a 5.087
_cell_length_b 5.087
_cell_length_c 5.087
_cell_angle_alpha 90.00
_cell_angle_beta 90.00
_cell_angle_gamma 90.00
_space_group_name_H-M_alt 'P m -3 m'
_space_group_IT_number 221
_space_group_name_Hall '-P 4 2 3'
loop_
_atom_site_label
_atom_site_type_symbol
_atom_site_fract_x
_atom_site_fract_y
_atom_site_fract_z
Na1 Na 0.000 0.000 0.000
Sc1 Sc 0.000 0.000 0.500
Sn1 Sn 0.500 0.500 0.500
```



List of relative energies, unit meV per atom: P 0; Q 399